Li2CaFe | PBE | relaxed

Total moment (μB per formula unit): 2.30
Volume (Å³/cell): 83.2
Energy of formation (eV per atom): 0.352
Offset from the most stable computed form (eV/atom): 0.000

a = 3.3617 Å, b = 3.3634 Å, c = 7.3557 Å
α = 90.00°, β = 90.00°, γ = 90.00°
Sites, in units of the cell vectors:
Ca: 0.0000 0.0000 0.5389
Fe: 0.5000 0.5000 0.8005
Li: 0.0000 0.0000 0.9743
Li: 0.5000 0.5000 0.1864

K2MgInSe4 | PBE | relaxed

Total moment (μB per formula unit): 0.00
Energy relative to the elements, uncorrected (meV per atom): -896
Volume (Å³/cell): 230.6

a = 7.1711 Å, b = 6.7096 Å, c = 6.7096 Å
α = 73.41°, β = 57.70°, γ = 57.70°
Sites, in units of the cell vectors:
K: 0.0000 0.5000 0.5000
K: 0.5000 0.5000 0.5000
Mg: 0.0000 0.0000 0.0000
In: 0.5000 0.0000 0.0000
Se: 0.0810 0.3395 0.0000
Se: 0.9190 0.0000 0.6605
Se: 0.5795 0.0000 0.3395
Se: 0.4205 0.6605 0.0000

V2ZnBr | PBE | relaxed

Total moment (μB per formula unit): 0.00
Energy relative to the elements, uncorrected (meV per atom): 658
Volume (Å³/cell): 60.0
Offset from the most stable computed form (eV/atom): 0.009

a = 4.3935 Å, b = 4.3935 Å, c = 4.3935 Å
α = 60.00°, β = 60.00°, γ = 60.00°
Sites, in units of the cell vectors:
Zn: 0.0000 0.0000 0.0000
Br: 0.5000 0.5000 0.5000
V: 0.2500 0.2500 0.2500
V: 0.7500 0.7500 0.7500

La2FeRh2 | PBE | relaxed

Total moment (μB per formula unit): 0.11
Volume (Å³/cell): 212.2
Energy of formation (eV per atom): -0.177

a = 7.0134 Å, b = 7.0134 Å, c = 4.3150 Å
α = 90.00°, β = 90.00°, γ = 90.00°
Sites, in units of the cell vectors:
Rh: 0.3586 0.8586 0.0000
Rh: 0.8586 0.6414 0.0000
Rh: 0.6414 0.1414 0.0000
Rh: 0.1414 0.3586 0.0000
Fe: 0.0000 0.0000 0.0000
Fe: 0.5000 0.5000 0.0000
La: 0.1788 0.6788 0.5000
La: 0.6788 0.8212 0.5000
La: 0.8212 0.3212 0.5000
La: 0.3212 0.1788 0.5000

Pr4IrPd3 | PBE | relaxed

Total moment (μB per formula unit): 0.00
Volume (Å³/cell): 198.6
Energy of formation (eV per atom): -0.751

a = 3.9324 Å, b = 4.6203 Å, c = 10.9333 Å
α = 90.00°, β = 90.00°, γ = 90.00°
Sites, in units of the cell vectors:
Pr: 0.5000 0.5000 0.3538
Pr: 0.0000 0.5000 0.8717
Pr: 0.0000 0.0000 0.1371
Pr: 0.5000 0.0000 0.6355
Ir: 0.5000 0.5000 0.0872
Pd: 0.0000 0.5000 0.5841
Pd: 0.0000 0.0000 0.4180
Pd: 0.5000 0.0000 0.9126

AcHo2ErSb4 | PBE | relaxed

Total moment (μB per formula unit): 0.00
Energy relative to the elements, uncorrected (meV per atom): -1095
Volume (Å³/cell): 254.3

a = 4.4825 Å, b = 7.7574 Å, c = 7.7552 Å
α = 70.57°, β = 90.00°, γ = 90.00°
Sites, in units of the cell vectors:
Ac: 0.5000 0.5000 0.0000
Ho: 0.0000 0.0000 0.0000
Ho: 0.5000 0.0000 0.5000
Er: 0.0000 0.5000 0.5000
Sb: 0.0000 0.7662 0.7330
Sb: 0.0000 0.2338 0.2670
Sb: 0.5000 0.7574 0.2588
Sb: 0.5000 0.2426 0.7412

Number 1: density 2.19 Mg/m³. Number 2: density 3.84 Mg/m³. Number 3: density 6.85 Mg/m³. Number 4: density 8.44 Mg/m³. Number 5: density 8.99 Mg/m³. Number 6: density 7.91 Mg/m³.